{
  "formula": "SrSb2Rh",
  "functional": "GGA-PBE",
  "state": "optimized geometry",
  "cell": [[5.198, 0.000, 0.000], [2.599, 4.502, 0.000], [2.599, 1.501, 4.244]],
  "species": ["Rh", "Sb", "Sb", "Sr"],
  "fractional_positions": [[0.500, 0.500, 0.500], [0.250, 0.250, 0.250], [0.000, 0.000, 0.000], [0.750, 0.750, 0.750]],
  "mass_density_g_cm3": 7.26,
  "space_group": "F-43m, No. 216",
  "dft_energy_ev_per_atom": -4.3955,
  "n_ef_per_ev_atom": 0.8231,
  "e_form_raw_kj_per_mol_fu": -29,
  "volume_a3_per_cell": 99.3
}